PBE HoSc2Pd, relaxed; energy above the most stable polymorph in this dataset = 19.4 kJ/mol of atoms; calculated formation energy = -0.256 eV per atom; crystal system = trigonal
1.0
3.4443 0.0000 0.0000
1.7221 2.9828 0.0000
1.7221 0.9943 9.3365
Ho Sc Pd
1 2 1
Direct
0.5014 0.5014 0.4959
0.0669 0.0669 0.7994
0.2656 0.2656 0.2032
0.6662 0.6662 0.0015

=====

PBE Ho3ScPd4, relaxed; calculated formation energy = -0.896 eV per atom; crystal system = orthorhombic
1.0
-0.9913 -3.2278 -0.1570
2.1943 -0.4609 -4.3799
8.3363 -2.7774 4.4687
Sc Ho Pd
1 3 4
Direct
0.5000 0.5000 0.0000
0.5000 0.0000 0.2454
0.5000 0.5000 0.5000
0.5000 0.0000 0.7546
0.0000 0.0000 0.5000
0.0000 0.5000 0.7641
0.0000 0.0000 0.0000
0.0000 0.5000 0.2359

=====

PBE HoSc3Pd6, relaxed; calculated formation energy = -0.881 eV per atom; crystal system = monoclinic
1.0
-3.0744 -3.1801 0.2756
6.0688 -5.9110 -0.5073
-0.1873 1.0149 9.6204
Ho Sc Pd
2 6 12
Direct
0.2500 0.9372 0.6254
0.7500 0.0628 0.3746
0.2500 0.5520 0.3941
0.7500 0.4480 0.6059
0.2500 0.3413 0.8140
0.7500 0.6587 0.1860
0.2500 0.7541 0.9596
0.7500 0.2459 0.0404
0.2500 0.4693 0.0984
0.7500 0.5307 0.9016
0.2500 0.1672 0.2115
0.7500 0.8328 0.7885
0.2500 0.6134 0.6853
0.7500 0.3866 0.3147
0.2500 0.2589 0.5199
0.7500 0.7411 0.4801
0.2500 0.8402 0.2734
0.7500 0.1598 0.7266
0.2500 0.0637 0.9193
0.7500 0.9363 0.0807

=====

PBE Ho2ScPd3, relaxed; energy above the most stable polymorph in this dataset = 0.3 kJ/mol of atoms; calculated formation energy = -0.893 eV per atom; crystal system = tetragonal
1.0
3.4254 0.0000 0.0000
0.0000 3.4254 0.0000
0.0000 0.0000 10.3427
Ho Sc Pd
2 1 3
Direct
0.5000 0.5000 0.8274
0.5000 0.5000 0.1726
0.5000 0.5000 0.5000
0.0000 0.0000 0.0000
0.0000 0.0000 0.6516
0.0000 0.0000 0.3484

=====

PBE HoSc2Pd, relaxed; energy above the most stable polymorph in this dataset = 0.0 kJ/mol of atoms; calculated formation energy = -0.457 eV per atom; crystal system = orthorhombic
1.0
-3.5566 0.0380 -4.9458
0.5722 -6.5379 -0.4618
-7.6024 -1.0510 5.4590
Ho Sc Pd
4 8 4
Direct
0.6182 0.5087 0.2500
0.8818 0.0087 0.2500
0.3818 0.4913 0.7500
0.1182 0.9913 0.7500
0.1785 0.6774 0.0522
0.3215 0.1774 0.4478
0.8215 0.3226 0.5522
0.6785 0.8226 0.9478
0.8215 0.3226 0.9478
0.6785 0.8226 0.5522
0.1785 0.6774 0.4478
0.3215 0.1774 0.0522
0.0736 0.3956 0.2500
0.4264 0.8956 0.2500
0.9264 0.6044 0.7500
0.5736 0.1044 0.7500

=====

PBE Ho3ScPd3, relaxed; calculated formation energy = -0.702 eV per atom; crystal system = monoclinic
1.0
-5.0735 -3.4303 -3.0005
5.1448 -3.5436 -2.7358
-0.1921 -4.1637 5.6308
Ho Sc Pd
6 2 6
Direct
0.6521 0.6521 0.3686
0.1748 0.8252 0.5000
0.8252 0.1748 0.5000
0.2569 0.7431 0.0000
0.7431 0.2569 0.0000
0.3479 0.3479 0.6314
0.7421 0.7421 0.8808
0.2579 0.2579 0.1192
0.9378 0.9378 0.1870
0.9696 0.5069 0.7174
0.5069 0.9696 0.7174
0.0304 0.4931 0.2826
0.4931 0.0304 0.2826
0.0622 0.0622 0.8130

=====

Number 1: N(E_F) 1.268 states/eV/atom, spin magnetization 0.4 Bohr magnetons per cell. Number 2: N(E_F) 0.472 states/eV/atom, spin magnetization 0.0 Bohr magnetons per cell. Number 3: N(E_F) 0.562 states/eV/atom, spin magnetization 0.0 Bohr magnetons per cell. Number 4: N(E_F) 0.640 states/eV/atom, spin magnetization 0.0 Bohr magnetons per cell. Number 5: N(E_F) 1.446 states/eV/atom, spin magnetization 0.0 Bohr magnetons per cell. Number 6: N(E_F) 0.721 states/eV/atom, spin magnetization 0.0 Bohr magnetons per cell.